# 1
PBE-GGA Nd6Pd2SI3, optimized geometry; formation energy without anion corrections = -1.037 eV per atom
1.0
3.7210 -6.4088 0.0000
3.7210 6.4088 0.0000
-2.4511 0.0000 7.7693
Nd Pd S I
6 2 1 3
direct
0.0971 0.4352 0.8072 Nd
0.2252 0.2252 0.1925 Nd
0.4352 0.0971 0.8072 Nd
0.5648 0.9029 0.1928 Nd
0.7748 0.7748 0.8075 Nd
0.9029 0.5648 0.1928 Nd
0.1668 0.8332 0.0000 Pd
0.8332 0.1668 0.0000 Pd
0.5000 0.5000 0.0000 S
0.0000 0.0000 0.5000 I
0.3367 0.6633 0.5000 I
0.6633 0.3367 0.5000 I

***

# 2
PBE-GGA Li2MgSnS4, optimized geometry; formation energy without anion corrections = -1.052 eV per atom
1.0
7.9255 0.0000 0.0000
0.0000 7.0488 0.0000
0.0000 0.0000 6.5023
Li Mg Sn S
4 2 2 8
direct
0.2480 0.1676 0.0000 Li
0.2520 0.8324 0.5000 Li
0.7480 0.8324 0.5000 Li
0.7520 0.1676 0.0000 Li
0.0000 0.3422 0.4976 Mg
0.5000 0.6578 0.9976 Mg
0.0000 0.6664 0.0020 Sn
0.5000 0.3336 0.5020 Sn
0.0000 0.3425 0.8789 S
0.0000 0.6720 0.3750 S
0.2471 0.8348 0.8790 S
0.2529 0.1652 0.3790 S
0.5000 0.3280 0.8750 S
0.5000 0.6575 0.3789 S
0.7471 0.1652 0.3790 S
0.7529 0.8348 0.8790 S

***

# 3
PBE-GGA BeAsIr2, optimized geometry; formation energy from the elements = 0.035 eV per atom; energy above the lowest structure with this stoichiometry = 76 kJ/mol of formula units
1.0
2.9174 0.0000 0.0000
0.0000 4.1517 0.0000
0.0000 0.0000 9.0652
Be As Ir
2 2 4
direct
0.0000 0.0000 0.0000 Be
0.5000 0.5000 0.5000 Be
0.0000 0.5000 0.2331 As
0.5000 0.0000 0.7331 As
0.0000 0.0000 0.4946 Ir
0.0000 0.5000 0.7091 Ir
0.5000 0.0000 0.2091 Ir
0.5000 0.5000 0.9946 Ir

***

# 4
PBE-GGA Cs4Pm3HfS8, optimized geometry; formation energy without anion corrections = -1.692 eV per atom
1.0
4.1040 2.3695 8.0842
-4.1040 2.3695 8.0842
0.0000 -4.7389 8.0842
Cs Pm Hf S
4 3 1 8
direct
0.0000 0.0000 0.0000 Cs
0.0000 0.5000 0.5000 Cs
0.5000 0.0000 0.5000 Cs
0.5000 0.5000 0.0000 Cs
0.0000 0.0000 0.5000 Pm
0.0000 0.5000 0.0000 Pm
0.5000 0.0000 0.0000 Pm
0.5000 0.5000 0.5000 Hf
0.2300 0.2300 0.2300 S
0.2516 0.7145 0.7145 S
0.2855 0.2855 0.7484 S
0.2855 0.7484 0.2855 S
0.7145 0.2516 0.7145 S
0.7145 0.7145 0.2516 S
0.7484 0.2855 0.2855 S
0.7700 0.7700 0.7700 S

***

# 5
PBE-GGA Cs8KAu2S, optimized geometry; formation energy without anion corrections = -0.304 eV per atom
1.0
8.7265 0.0000 0.0000
0.3060 8.8718 0.0000
0.0355 0.0189 11.5231
Cs K Au S
8 1 2 1
direct
0.2164 0.0970 0.4994 Cs
0.2538 0.1965 0.9994 Cs
0.2567 0.6667 0.1946 Cs
0.2582 0.6687 0.8063 Cs
0.7418 0.3313 0.1937 Cs
0.7433 0.3333 0.8054 Cs
0.7462 0.8035 0.0006 Cs
0.7836 0.9030 0.5006 Cs
0.5000 0.5000 0.5000 K
0.0002 0.9997 0.2320 Au
0.9998 0.0003 0.7680 Au
0.5000 0.5000 0.0000 S

***

# 6
PBE-GGA RbLaTl4, optimized geometry; formation energy from the elements = -0.072 eV per atom
1.0
0.0000 4.6026 4.6026
4.6026 0.0000 4.6026
4.6026 4.6026 0.0000
Rb La Tl
1 1 4
direct
0.0000 0.0000 0.0000 Rb
0.7500 0.7500 0.7500 La
0.3756 0.3756 0.3756 Tl
0.3756 0.3756 0.8733 Tl
0.3756 0.8733 0.3756 Tl
0.8733 0.3756 0.3756 Tl

***

# 7
PBE-GGA Te2W, optimized geometry; formation energy without anion corrections = 0.273 eV per atom
1.0
3.4267 0.0000 0.0000
0.0000 17.5316 0.0000
0.0000 0.0000 5.1896
Te W
8 4
direct
0.0000 0.0956 0.2500 Te
0.0000 0.3470 0.2500 Te
0.0000 0.6530 0.7500 Te
0.0000 0.9044 0.7500 Te
0.5000 0.1530 0.7500 Te
0.5000 0.4044 0.7500 Te
0.5000 0.5956 0.2500 Te
0.5000 0.8470 0.2500 Te
0.0000 0.2790 0.7500 W
0.0000 0.7210 0.2500 W
0.5000 0.2210 0.2500 W
0.5000 0.7790 0.7500 W

***

# 8
PBE-GGA Rb3La3AlO8, optimized geometry; formation energy without anion corrections = -2.431 eV per atom
1.0
3.5573 2.0538 6.6319
-3.5573 2.0538 6.6319
0.0000 -4.1076 6.6319
Rb La Al O
3 3 1 8
direct
0.0000 0.5000 0.5000 Rb
0.5000 0.0000 0.5000 Rb
0.5000 0.5000 0.0000 Rb
0.0000 0.0000 0.5000 La
0.0000 0.5000 0.0000 La
0.5000 0.0000 0.0000 La
0.5000 0.5000 0.5000 Al
0.2273 0.2273 0.2273 O
0.2685 0.6964 0.6964 O
0.3036 0.3036 0.7315 O
0.3036 0.7315 0.3036 O
0.6964 0.2685 0.6964 O
0.6964 0.6964 0.2685 O
0.7315 0.3036 0.3036 O
0.7727 0.7727 0.7727 O

***

# 9
PBE-GGA HfZrTi3, optimized geometry; formation energy from the elements = 0.450 eV per atom; energy above the lowest structure with this stoichiometry = 40 kJ/mol of formula units
1.0
4.6450 0.0000 0.0000
0.0000 4.6450 0.0000
0.0000 0.0000 9.4218
Hf Zr Ti
2 2 6
direct
0.0000 0.0000 0.0000 Hf
0.5000 0.5000 0.5000 Hf
0.0000 0.0000 0.5983 Zr
0.5000 0.5000 0.0983 Zr
0.0000 0.0000 0.3001 Ti
0.0000 0.5000 0.2996 Ti
0.0000 0.5000 0.7996 Ti
0.5000 0.0000 0.2996 Ti
0.5000 0.0000 0.7996 Ti
0.5000 0.5000 0.8001 Ti

***

# 10
PBE-GGA Tl2GeBiCl, optimized geometry; formation energy without anion corrections = 0.081 eV per atom; energy above the lowest structure with this stoichiometry = 0 kJ/mol of formula units
1.0
5.8737 0.0000 0.0000
0.0000 5.8737 0.0000
0.0000 0.0000 5.4539
Tl Ge Bi Cl
2 1 1 1
direct
0.0000 0.5000 0.0000 Tl
0.5000 0.0000 0.0000 Tl
0.0000 0.0000 0.0000 Ge
0.0000 0.0000 0.5000 Bi
0.5000 0.5000 0.5000 Cl

***

# 11
PBE-GGA TlSe3Br, optimized geometry; formation energy without anion corrections = 0.512 eV per atom; energy above the lowest structure with this stoichiometry = 0 kJ/mol of formula units
1.0
5.3157 0.0000 0.0000
0.0000 5.3157 0.0000
0.0000 0.0000 5.3157
Tl Se Br
1 3 1
direct
0.0000 0.0000 0.0000 Tl
0.0000 0.5000 0.5000 Se
0.5000 0.0000 0.5000 Se
0.5000 0.5000 0.0000 Se
0.5000 0.5000 0.5000 Br

***

# 12
PBE-GGA La3Sm4Y5, optimized geometry; formation energy from the elements = 0.020 eV per atom; energy above the lowest structure with this stoichiometry = 0 kJ/mol of formula units
1.0
6.2901 0.0000 0.0000
0.0155 7.2654 0.0000
0.0196 0.0241 8.9165
La Sm Y
3 4 5
direct
0.0000 0.0000 0.0000 La
0.1661 0.2518 0.3322 La
0.8339 0.7482 0.6678 La
0.1692 0.7487 0.3326 Sm
0.3321 0.4993 0.6670 Sm
0.6679 0.5007 0.3330 Sm
0.8308 0.2513 0.6674 Sm
0.0000 0.5000 0.0000 Y
0.3345 0.0003 0.6679 Y
0.4979 0.7490 0.0005 Y
0.5021 0.2510 0.9995 Y
0.6655 0.9997 0.3321 Y